No. 1
## SbH3SO6 (PBE)

Data for a relaxed structure of SbH3SO6.

Cell and atoms, written as POSCAR:
```
SbH3SO6
1.0
13.574 0.000 0.000
0.000 6.043 0.001
0.000 3.158 6.119
O H S Sb
24 12 4 4
direct
0.040 0.117 0.077 O
0.761 0.793 0.522 O
0.460 0.117 0.577 O
0.261 0.207 0.978 O
0.693 0.370 0.087 O
0.239 0.207 0.478 O
0.600 0.572 0.262 O
0.960 0.883 0.923 O
0.085 0.771 0.667 O
0.413 0.278 0.130 O
0.193 0.630 0.413 O
0.585 0.229 0.833 O
0.587 0.722 0.870 O
0.087 0.278 0.630 O
0.807 0.370 0.587 O
0.307 0.630 0.913 O
0.415 0.771 0.167 O
0.540 0.883 0.423 O
0.739 0.793 0.022 O
0.100 0.428 0.238 O
0.915 0.229 0.333 O
0.913 0.722 0.370 O
0.400 0.428 0.738 O
0.900 0.572 0.762 O
0.522 0.322 0.817 H
0.133 0.721 0.585 H
0.925 0.782 0.864 H
0.367 0.721 0.085 H
0.978 0.322 0.317 H
0.478 0.678 0.183 H
0.022 0.678 0.683 H
0.633 0.279 0.915 H
0.575 0.782 0.364 H
0.867 0.279 0.415 H
0.425 0.218 0.636 H
0.075 0.218 0.136 H
0.840 0.613 0.566 S
0.160 0.387 0.434 S
0.340 0.387 0.934 S
0.660 0.613 0.066 S
0.389 0.934 0.403 Sb
0.611 0.066 0.597 Sb
0.111 0.934 0.903 Sb
0.889 0.066 0.097 Sb
```

Values from the calculation:
raw total energy: -5.589 eV/atom

***

No. 2
## ScHSO (PBE)

Data for a relaxed structure of ScHSO.

Cell and atoms, written as POSCAR:
```
ScHSO
1.0
3.528 0.000 0.000
1.764 3.056 0.000
1.764 1.019 5.558
S Sc O H
1 1 1 1
direct
0.304 0.304 0.087 S
0.725 0.725 0.825 Sc
0.118 0.118 0.645 O
0.179 0.179 0.463 H
```

Values from the calculation:
raw total energy: -6.568 eV/atom

***

No. 3
## SmHSO5 (PBE)

Data for a relaxed structure of SmHSO5.

Cell and atoms, written as POSCAR:
```
SmHSO5
1.0
12.394 0.000 0.000
0.000 4.464 -0.007
0.000 2.522 6.634
O Sm H S
20 4 4 4
direct
0.598 0.018 0.222 O
0.418 0.262 0.042 O
0.902 0.018 0.722 O
0.402 0.982 0.778 O
0.918 0.738 0.458 O
0.250 0.739 0.171 O
0.334 0.205 0.431 O
0.750 0.261 0.829 O
0.570 0.304 0.452 O
0.070 0.696 0.048 O
0.430 0.696 0.548 O
0.082 0.262 0.542 O
0.582 0.738 0.958 O
0.250 0.739 0.671 O
0.166 0.205 0.931 O
0.666 0.795 0.569 O
0.750 0.261 0.329 O
0.098 0.982 0.278 O
0.930 0.304 0.952 O
0.834 0.795 0.069 O
0.061 0.662 0.701 Sm
0.561 0.338 0.799 Sm
0.439 0.662 0.201 Sm
0.939 0.338 0.299 Sm
0.846 0.718 0.520 H
0.346 0.282 0.980 H
0.154 0.282 0.480 H
0.654 0.718 0.020 H
0.648 0.088 0.393 S
0.852 0.088 0.893 S
0.352 0.912 0.607 S
0.148 0.912 0.107 S
```

Values from the calculation:
raw total energy: -6.717 eV/atom